Record 1
Material: TaSiAs2
Method: DFT, PBE-GGA
State: optimized geometry

Output
**Total energy**: -6.425 eV/atom
**E_form (uncorrected)**: 219 meV/atom
**Fermi-level density of states**: 6.7 states/eV per cell

```
data_TaSiAs2
_space_group_name_H-M_alt 'R -3 m'
_space_group_IT_number 166
_space_group_name_Hall '-R 3 2"'
_cell_length_a 2.9885
_cell_length_b 2.9885
_cell_length_c 28.0814
_cell_angle_alpha 90.00
_cell_angle_beta 90.00
_cell_angle_gamma 120.00
loop_
_atom_site_label
_atom_site_fract_x
_atom_site_fract_y
_atom_site_fract_z
_atom_site_occupancy
Ta1 0.0000 0.0000 0.0000 1
Si1 0.0000 0.0000 0.5000 1
As1 0.0000 0.0000 0.2565 1
```


Record 2
Material: TaSiAs
Method: DFT, PBE-GGA
State: optimized geometry

Output
**Total energy**: -7.316 eV/atom
**E_form (uncorrected)**: -7 meV/atom
**Fermi-level density of states**: 2.0 states/eV per cell

```
data_TaSiAs
_space_group_name_H-M_alt 'P 3 m 1'
_space_group_IT_number 156
_space_group_name_Hall 'P 3 -2"'
_cell_length_a 3.1205
_cell_length_b 3.1205
_cell_length_c 5.9743
_cell_angle_alpha 90.00
_cell_angle_beta 90.00
_cell_angle_gamma 120.00
loop_
_atom_site_label
_atom_site_fract_x
_atom_site_fract_y
_atom_site_fract_z
_atom_site_occupancy
Ta1 0.0000 0.0000 0.0000 1
Si1 0.3333 0.6667 0.6709 1
As1 0.6667 0.3333 0.3313 1
```


Record 3
Material: TaSi2As
Method: DFT, PBE-GGA
State: optimized geometry

Output
**Total energy**: -6.391 eV/atom
**E_form (uncorrected)**: 446 meV/atom
**Fermi-level density of states**: 12.7 states/eV per cell

```
data_TaSi2As
_space_group_name_H-M_alt 'F -4 3 m'
_space_group_IT_number 216
_space_group_name_Hall 'F -4 2 3'
_cell_length_a 6.386
_cell_length_b 6.386
_cell_length_c 6.386
_cell_angle_alpha 90.00
_cell_angle_beta 90.00
_cell_angle_gamma 90.00
loop_
_atom_site_label
_atom_site_fract_x
_atom_site_fract_y
_atom_site_fract_z
_atom_site_occupancy
Ta1 0.000 0.000 0.000 1
Si1 0.000 0.000 0.500 1
Si2 0.250 0.250 0.250 1
As1 0.250 0.250 0.750 1
```


Record 4
Material: Ta2SiAs
Method: DFT, PBE-GGA
State: optimized geometry

Output
**Total energy**: -8.784 eV/atom
**E_form (uncorrected)**: -339 meV/atom
**Fermi-level density of states**: 2.5 states/eV per cell

```
data_Ta2SiAs
_space_group_name_H-M_alt 'P 4 m m'
_space_group_IT_number 99
_space_group_name_Hall 'P 4 -2'
_cell_length_a 3.414
_cell_length_b 3.414
_cell_length_c 5.671
_cell_angle_alpha 90.00
_cell_angle_beta 90.00
_cell_angle_gamma 90.00
loop_
_atom_site_label
_atom_site_fract_x
_atom_site_fract_y
_atom_site_fract_z
_atom_site_occupancy
Ta1 0.000 0.000 0.000 1
Ta2 0.500 0.500 0.309 1
Si1 0.500 0.500 0.808 1
As1 0.000 0.000 0.509 1
```


Record 5
Material: TaSiAs
Method: DFT, PBE-GGA
State: optimized geometry

Output
**Total energy**: -7.219 eV/atom
**E_form (uncorrected)**: 90 meV/atom
**Fermi-level density of states**: 2.8 states/eV per cell

```
data_TaSiAs
_space_group_name_H-M_alt 'F m m 2'
_space_group_IT_number 42
_space_group_name_Hall 'F 2 -2'
_cell_length_a 3.629
_cell_length_b 4.458
_cell_length_c 13.307
_cell_angle_alpha 90.00
_cell_angle_beta 90.00
_cell_angle_gamma 90.00
loop_
_atom_site_label
_atom_site_fract_x
_atom_site_fract_y
_atom_site_fract_z
_atom_site_occupancy
Ta1 0.000 0.000 0.000 1
Si1 0.000 0.000 0.354 1
As1 0.000 0.000 0.652 1
```


Record 6
Material: TaSi2As
Method: DFT, PBE-GGA
State: optimized geometry

Output
**Total energy**: -6.815 eV/atom
**E_form (uncorrected)**: 22 meV/atom
**Fermi-level density of states**: 2.1 states/eV per cell

```
data_TaSi2As
_space_group_name_H-M_alt 'P 1 m 1'
_space_group_IT_number 6
_space_group_name_Hall 'P -2y'
_cell_length_a 3.419
_cell_length_b 3.357
_cell_length_c 5.696
_cell_angle_alpha 90.00
_cell_angle_beta 100.62
_cell_angle_gamma 90.00
loop_
_atom_site_label
_atom_site_fract_x
_atom_site_fract_y
_atom_site_fract_z
_atom_site_occupancy
Ta1 0.000 0.000 0.000 1
Si1 0.007 0.000 0.466 1
Si2 0.550 0.500 0.246 1
As1 0.432 0.500 0.760 1
```


Copy entry 6 word for word.
Material: TaSi2As
Method: DFT, PBE-GGA
State: optimized geometry

Output
**Total energy**: -6.815 eV/atom
**E_form (uncorrected)**: 22 meV/atom
**Fermi-level density of states**: 2.1 states/eV per cell

```
data_TaSi2As
_space_group_name_H-M_alt 'P 1 m 1'
_space_group_IT_number 6
_space_group_name_Hall 'P -2y'
_cell_length_a 3.419
_cell_length_b 3.357
_cell_length_c 5.696
_cell_angle_alpha 90.00
_cell_angle_beta 100.62
_cell_angle_gamma 90.00
loop_
_atom_site_label
_atom_site_fract_x
_atom_site_fract_y
_atom_site_fract_z
_atom_site_occupancy
Ta1 0.000 0.000 0.000 1
Si1 0.007 0.000 0.466 1
Si2 0.550 0.500 0.246 1
As1 0.432 0.500 0.760 1
```


Q: What is the total energy in the first record?
A: -6.425 eV/atom


Q: Look up the E_form (uncorrected) of the first one.
A: 219 meV/atom


Q: Which value of E_form (uncorrected) does entry 2 give?
A: -7 meV/atom